CaMn2Tc (PBE, relaxed); ΔE_f = 672 meV per atom; density of states at the Fermi level = 1.201 states/eV/atom; distance to the lowest polymorph of the same formula = 313 meV/atom; raw total energy = -7.0043 eV per atom
1.0
1.484 0.857 9.262
-1.484 0.857 9.262
0.000 -1.714 9.262
Ca Mn Tc
1 2 1
direct
0.000 0.000 0.000
0.237 0.237 0.237
0.763 0.763 0.763
0.500 0.500 0.500

---

Sb2OsCl (PBE, relaxed); density of states at the Fermi level = 0.586 states/eV/atom; E_form (uncorrected) = 0.07 eV/atom; distance to the lowest polymorph of the same formula = 85 meV/atom; raw total energy = -5.2583 eV per atom
1.0
8.220 -1.634 0.000
8.220 1.634 0.000
-0.009 0.000 3.275
Sb Os Cl
2 1 1
direct
0.000 0.000 0.000
0.205 0.205 0.003
0.604 0.604 0.504
0.363 0.363 0.507

---

Ta2NbOs2 (PBE, relaxed); ΔE_f = -23 meV per atom; density of states at the Fermi level = 1.556 states/eV/atom; distance to the lowest polymorph of the same formula = 0 meV/atom; raw total energy = -11.2698 eV per atom
1.0
7.556 0.000 0.000
0.000 7.556 0.000
0.000 0.000 3.037
Ta Nb Os
4 2 4
direct
0.160 0.340 0.000
0.340 0.840 0.000
0.660 0.160 0.000
0.840 0.660 0.000
0.000 0.000 0.500
0.500 0.500 0.500
0.138 0.638 0.500
0.362 0.138 0.500
0.638 0.862 0.500
0.862 0.362 0.500

---

Ag2AsCl5 (PBE, relaxed); density of states at the Fermi level = 0.000 states/eV/atom; E_form (uncorrected) = -0.54 eV/atom; raw total energy = -2.9922 eV per atom
1.0
6.529 0.000 0.000
1.584 6.930 0.000
3.040 2.514 6.494
Ag As Cl
2 1 5
direct
0.000 0.000 0.000
0.013 0.497 0.972
0.326 0.477 0.376
0.055 0.695 0.495
0.112 0.238 0.440
0.264 0.721 0.942
0.431 0.322 0.652
0.730 0.273 0.064

---

BClF5 (PBE, relaxed); E_form (uncorrected) = -1.43 eV/atom; raw total energy = -3.9853 eV per atom
1.0
3.353 -4.860 0.000
3.353 4.860 0.000
-0.849 0.000 6.497
B Cl F
2 2 10
direct
0.000 0.000 0.000
0.000 0.000 0.500
0.405 0.595 0.750
0.595 0.405 0.250
0.022 0.794 0.925
0.067 0.933 0.250
0.206 0.978 0.575
0.246 0.451 0.510
0.451 0.246 0.010
0.549 0.754 0.990
0.754 0.549 0.490
0.794 0.022 0.425
0.933 0.067 0.750
0.978 0.206 0.075

---

Ba2Cl3 (PBE, relaxed); density of states at the Fermi level = 0.393 states/eV/atom; E_form (uncorrected) = -2.11 eV/atom; distance to the lowest polymorph of the same formula = 47 meV/atom; raw total energy = -3.9821 eV per atom
1.0
2.374 1.370 9.857
-2.374 1.370 9.857
0.000 -2.741 9.857
Ba Cl
2 3
direct
0.104 0.104 0.104
0.896 0.896 0.896
0.277 0.277 0.277
0.500 0.500 0.500
0.723 0.723 0.723

---

AcNdEr2 (PBE, relaxed); ΔE_f = 53 meV per atom; density of states at the Fermi level = 1.593 states/eV/atom; distance to the lowest polymorph of the same formula = 4 meV/atom; raw total energy = -4.4480 eV per atom
1.0
3.757 0.000 0.000
0.000 3.757 0.000
0.000 0.000 9.898
Ac Nd Er
1 1 2
direct
0.000 0.000 0.000
0.000 0.000 0.500
0.500 0.500 0.260
0.500 0.500 0.740

---

Zn5Hg12Te3 (PBE, relaxed); density of states at the Fermi level = 0.454 states/eV/atom; E_form (uncorrected) = 0.08 eV/atom; raw total energy = -0.8929 eV per atom
1.0
-8.418 8.418 8.418
8.418 -8.418 8.418
8.418 8.418 -8.418
Zn Hg Te
20 48 12
direct
0.000 0.000 0.000
0.000 0.000 0.500
0.000 0.500 0.000
0.000 0.500 0.500
0.125 0.750 0.875
0.125 0.875 0.250
0.250 0.125 0.875
0.250 0.625 0.375
0.375 0.250 0.625
0.375 0.625 0.750
0.500 0.000 0.000
0.500 0.000 0.500
0.500 0.500 0.000
0.500 0.500 0.500
0.625 0.375 0.250
0.625 0.750 0.375
0.750 0.375 0.625
0.750 0.875 0.125
0.875 0.125 0.750
0.875 0.250 0.125
0.039 0.216 0.115
0.039 0.323 0.924
0.076 0.615 0.399
0.076 0.961 0.677
0.101 0.716 0.677
0.101 0.885 0.424
0.115 0.039 0.216
0.115 0.576 0.899
0.177 0.216 0.601
0.177 0.461 0.576
0.216 0.115 0.039
0.216 0.601 0.177
0.284 0.323 0.899
0.284 0.461 0.385
0.323 0.899 0.284
0.323 0.924 0.039
0.385 0.284 0.461
0.385 0.601 0.924
0.399 0.076 0.615
0.399 0.823 0.784
0.424 0.101 0.885
0.424 0.823 0.539
0.461 0.385 0.284
0.461 0.576 0.177
0.539 0.424 0.823
0.539 0.615 0.716
0.576 0.177 0.461
0.576 0.899 0.115
0.601 0.177 0.216
0.601 0.924 0.385
0.615 0.399 0.076
0.615 0.716 0.539
0.677 0.076 0.961
0.677 0.101 0.716
0.716 0.539 0.615
0.716 0.677 0.101
0.784 0.399 0.823
0.784 0.885 0.961
0.823 0.539 0.424
0.823 0.784 0.399
0.885 0.424 0.101
0.885 0.961 0.784
0.899 0.115 0.576
0.899 0.284 0.323
0.924 0.039 0.323
0.924 0.385 0.601
0.961 0.677 0.076
0.961 0.784 0.885
0.125 0.250 0.375
0.125 0.375 0.750
0.250 0.375 0.125
0.250 0.875 0.625
0.375 0.125 0.250
0.375 0.750 0.125
0.625 0.250 0.875
0.625 0.875 0.750
0.750 0.125 0.375
0.750 0.625 0.875
0.875 0.625 0.250
0.875 0.750 0.625